Tb2TlPd8 | GGA-PBE | relaxed

## Properties
Total moment: 0.0 μB per formula unit
Total DFT energy (no corrections): -5.351 eV per atom

abc: 4.670 6.145 14.339
angles: 90.00 90.00 90.00
Space group Immm (No. 71)
One atom of each set of equivalent atoms:
Tb  0.000  0.000  0.189 [4 per cell]
Tl  0.000  0.000  0.500 [2 per cell]
Pd  0.000  0.234  0.000 [4 per cell]
Pd  0.000  0.268  0.356 [8 per cell]
Pd  0.000  0.500  0.177 [4 per cell]